Entry 1:
Tb4Pr2Dy2Ho: relaxed, GGA-PBE.

a b c (Å): 8.010 9.495 6.210
angles (deg): 123.07 130.23 59.58
Sites, in units of the cell vectors:
Tb1 0.222 0.111 0.779
Dy1 0.109 0.556 0.888
Dy2 0.891 0.444 0.112
Pr1 0.667 0.332 0.331
Pr2 0.333 0.668 0.669
Tb2 0.778 0.889 0.221
Tb3 0.556 0.780 0.447
Tb4 0.444 0.220 0.553
Ho1 0.000 0.000 0.000

Output
**Space-group type**: P-1
**ΔH_f (0 K)**: 0.017 eV per atom



Entry 2:
ReOs3: relaxed, GGA-PBE.

a b c (Å): 5.524 5.525 4.367
angles (deg): 90.00 90.00 120.00
Sites, in units of the cell vectors:
Os1 0.499 0.496 0.000
Os2 0.834 0.164 0.500
Os3 0.330 0.165 0.500
Re1 0.999 0.499 0.000
Os4 0.499 0.003 0.000
Os5 0.834 0.670 0.500
Re2 0.335 0.667 0.500
Os6 0.003 0.001 0.000

Output
**Space-group type**: Cmcm
**Excess energy over the best structure of this formula in the dataset**: 14 meV/atom
**ΔH_f (0 K)**: -0.069 eV per atom



Entry 3:
Na12Cd7Pt: relaxed, GGA-PBE.

a b c (Å): 8.354 8.354 8.354
angles (deg): 102.99 102.99 102.99
Sites, in units of the cell vectors:
Na1 0.235 0.765 0.501
Cd1 0.309 0.923 0.924
Na2 0.499 0.765 0.235
Cd2 0.691 0.077 0.076
Cd3 0.924 0.309 0.923
Na3 0.501 0.235 0.765
Na4 0.679 0.680 0.922
Na5 0.680 0.922 0.679
Na6 0.235 0.499 0.765
Cd4 0.076 0.691 0.077
Pt1 0.000 0.000 0.000
Na7 0.078 0.321 0.320
Cd5 0.077 0.076 0.691
Na8 0.765 0.501 0.235
Na9 0.320 0.078 0.321
Na10 0.765 0.235 0.499
Na11 0.321 0.320 0.078
Cd6 0.923 0.924 0.309
Cd7 0.500 0.500 0.500
Na12 0.922 0.679 0.680

Output
**Space-group type**: R-3
**ΔH_f (0 K)**: -0.087 eV per atom



Entry 4:
Al2AsP: relaxed, GGA-PBE.

a b c (Å): 4.443 4.443 4.443
angles (deg): 114.98 114.98 98.95
Sites, in units of the cell vectors:
As1 0.250 0.750 0.500
Al1 0.000 0.000 0.000
P1 0.750 0.250 0.500
Al2 0.500 0.500 0.000

Output
**Space-group type**: I4/mmm
**Excess energy over the best structure of this formula in the dataset**: 686 meV/atom
**ΔH_f (0 K)**: 0.139 eV per atom



Entry 5:
TbU2Se5: relaxed, GGA-PBE.

a b c (Å): 4.027 8.074 12.391
angles (deg): 90.00 90.00 90.00
Sites, in units of the cell vectors:
Se1 0.000 0.816 0.198
Se2 0.000 0.184 0.802
Se3 0.000 0.000 0.500
Se4 0.500 0.325 0.606
U1 0.500 0.524 0.179
Tb1 0.000 0.500 0.500
Se5 0.000 0.500 0.000
Tb2 0.000 0.000 0.000
Se6 0.000 0.684 0.698
U2 0.500 0.976 0.679
U3 0.500 0.024 0.321
Se7 0.500 0.825 0.894
Se8 0.000 0.316 0.302
Se9 0.500 0.175 0.106
Se10 0.500 0.675 0.394
U4 0.500 0.476 0.821

Output
**Space-group type**: Pbam
**Formation energy from raw total energies**: -1.311 eV/atom
**Excess energy over the best structure of this formula in the dataset**: 0 meV/atom



Entry 6:
CeReH5: relaxed, GGA-PBE.

a b c (Å): 5.446 5.446 5.779
angles (deg): 105.67 112.22 108.19
Sites, in units of the cell vectors:
H1 0.907 0.657 0.750
Ce1 0.453 0.703 0.250
H2 0.278 0.226 0.965
H3 0.260 0.813 0.535
Ce2 0.547 0.297 0.750
H4 0.274 0.516 0.791
Re1 0.000 0.500 0.500
Re2 0.000 0.000 0.000
H5 0.725 0.983 0.709
H6 0.275 0.017 0.291
H7 0.740 0.187 0.465
H8 0.726 0.484 0.209
H9 0.093 0.343 0.250
H10 0.722 0.774 0.035

Output
**Space-group type**: C2/c



Entry 7:
Nb2AgRuPt: relaxed, GGA-PBE.

a b c (Å): 4.798 4.747 4.798
angles (deg): 90.00 90.00 90.00
Sites, in units of the cell vectors:
Ru1 0.500 0.500 0.500
Nb1 0.000 0.000 0.500
Ag1 0.000 0.000 0.000
Pt1 0.000 0.500 0.000
Nb2 0.500 0.000 0.000

Output
**Space-group type**: P4/mmm
**ΔH_f (0 K)**: 1.946 eV per atom



Entry 8:
AcDyAlZn: relaxed, GGA-PBE.

a b c (Å): 5.353 5.353 5.353
angles (deg): 60.00 60.00 60.00
Sites, in units of the cell vectors:
Ac1 0.250 0.250 0.250
Zn1 0.000 0.000 0.000
Dy1 0.750 0.750 0.750
Al1 0.500 0.500 0.500

Output
**Space-group type**: F-43m
**ΔH_f (0 K)**: -0.249 eV per atom



Entry 9:
La8Sm3Th2: relaxed, GGA-PBE.

a b c (Å): 5.921 7.517 11.211
angles (deg): 109.59 90.05 90.00
Sites, in units of the cell vectors:
La1 0.001 0.862 0.724
Sm1 0.000 0.274 0.000
La2 0.999 0.138 0.276
La3 0.500 0.400 0.213
Th1 0.502 0.756 0.511
Sm2 0.000 0.726 0.000
La4 0.999 0.325 0.649
La5 0.500 0.600 0.787
Th2 0.498 0.244 0.489
La6 0.500 0.812 0.213
La7 0.500 0.188 0.787
Sm3 0.500 0.000 0.000
La8 0.001 0.675 0.351

Output
**Space-group type**: C2/m
**ΔH_f (0 K)**: 0.217 eV per atom



Entry 10:
Si2SnSb: relaxed, GGA-PBE.

a b c (Å): 4.943 4.943 4.943
angles (deg): 60.00 60.00 60.00
Sites, in units of the cell vectors:
Si1 0.750 0.750 0.750
Si2 0.250 0.250 0.250
Sn1 0.000 0.000 0.000
Sb1 0.500 0.500 0.500

Output
**Space-group type**: Fm-3m
**Formation energy from raw total energies**: 0.502 eV/atom
**Excess energy over the best structure of this formula in the dataset**: 153 meV/atom



Entry 11:
InIr2Br: relaxed, GGA-PBE.

a b c (Å): 4.824 4.824 3.057
angles (deg): 90.00 90.00 101.53
Sites, in units of the cell vectors:
Ir1 0.000 0.000 0.000
In1 0.000 0.500 0.500
Ir2 0.500 0.500 0.000
Br1 0.500 0.000 0.500

Output
**Space-group type**: Cmmm
**Formation energy from raw total energies**: 0.763 eV/atom
**Excess energy over the best structure of this formula in the dataset**: 471 meV/atom



Entry 12:
RbInCuS2: relaxed, GGA-PBE.

a b c (Å): 5.482 7.132 8.144
angles (deg): 115.97 90.00 90.00
Sites, in units of the cell vectors:
In1 0.500 0.250 0.000
Rb1 0.247 0.750 0.500
S1 0.251 0.113 0.227
Rb2 0.753 0.250 0.500
S2 0.749 0.887 0.773
Cu1 0.000 0.500 0.000
Cu2 0.000 0.000 0.000
In2 0.500 0.750 0.000
S3 0.251 0.387 0.773
S4 0.749 0.613 0.227

Output
**Space-group type**: Cmme
**Formation energy from raw total energies**: -0.505 eV/atom



| no. | total moment (μB per atom) | DFT total energy (eV/atom) |
| --- | --- | --- |
| 1 | 0.000 | -4.63 |
| 2 | 0.000 | -11.60 |
| 3 | 0.000 | -1.50 |
| 4 | 0.000 | -4.25 |
| 5 | 0.623 | -6.89 |
| 6 | 0.002 | -5.10 |
| 7 | 0.000 | -5.72 |
| 8 | 0.000 | -3.68 |
| 9 | 0.000 | -5.05 |
| 10 | 0.000 | -4.24 |
| 11 | 0.000 | -4.77 |
| 12 | 0.000 | -3.72 |